! PBE with a Hubbard U CrPdO2F, relaxed; values from VASP
&SYSTEM
  ibrav = 0, nat = 5, ntyp = 4
/
ATOMIC_SPECIES
Cr 52.00 Cr.upf
O 16.00 O.upf
Pd 106.42 Pd.upf
F 19.00 F.upf
ATOMIC_POSITIONS crystal
Cr 0.000 0.000 0.000
O 0.000 0.500 0.000
O 0.500 0.000 0.000
Pd 0.500 0.500 0.500
F 0.000 0.000 0.500
CELL_PARAMETERS angstrom
3.893 0.000 0.000
0.000 3.893 0.000
0.000 0.000 3.839
! Final energy: -29.303 eV/f.u.